Arrangement w

DFT (PBE) results for crystalline LiH3Pd2 at its relaxed geometry.

a b c (Å): 9.438 3.918 2.865
angles (deg): 90.00 107.13 90.00
Space group C2/m (No. 12)
Inequivalent atoms, fractional coordinates:
Li (0.000, 0.000, 0.000) x2
H (0.000, 0.500, 0.000) x2
H (0.196, 0.000, 0.698) x4
Pd (0.157, 0.500, 0.660) x4


Arrangement x

DFT (PBE) results for crystalline LiH3Pd2 at its relaxed geometry.

a b c (Å): 7.974 5.083 5.471
angles (deg): 90.00 90.00 90.00
Space group Cmcm (No. 63)
Inequivalent atoms, fractional coordinates:
Li (0.000, 0.053, 0.250) x4
H (0.000, 0.489, 0.250) x4
H (0.239, 0.238, 0.750) x8
Pd (0.177, 0.500, 0.000) x8


arrangement w (58 meV/atom below the next structure)


Arrangement w

DFT (PBE) results for crystalline Li2HPdPt at its relaxed geometry.

a b c (Å): 3.960 3.960 3.657
angles (deg): 90.00 90.00 90.00
Space group P4/mmm (No. 123)
Inequivalent atoms, fractional coordinates:
Li (0.000, 0.500, 0.000) x2
H (0.000, 0.000, 0.000) x1
Pd (0.000, 0.000, 0.500) x1
Pt (0.500, 0.500, 0.500) x1


Arrangement x

DFT (PBE) results for crystalline Li2HPdPt at its relaxed geometry.

a b c (Å): 4.002 4.002 3.607
angles (deg): 90.00 90.00 90.00
Space group P4/mmm (No. 123)
Inequivalent atoms, fractional coordinates:
Li (0.000, 0.500, 0.000) x2
H (0.000, 0.000, 0.000) x1
Pd (0.500, 0.500, 0.500) x1
Pt (0.000, 0.000, 0.500) x1


arrangement x (20 meV/atom below the next structure)


Arrangement w

DFT (PBE) results for crystalline LiHPdPt at its relaxed geometry.

a b c (Å): 11.110 2.875 2.875
angles (deg): 90.00 104.87 90.00
Space group Cm (No. 8)
Inequivalent atoms, fractional coordinates:
Li (0.000, 0.000, 0.000) x2
H (0.311, 0.500, 0.812) x2
Pd (0.341, 0.000, 0.342) x2
Pt (0.143, 0.500, 0.641) x2


Arrangement x

DFT (PBE) results for crystalline LiHPdPt at its relaxed geometry.

a b c (Å): 5.647 5.647 5.647
angles (deg): 90.00 90.00 90.00
Space group F-43m (No. 216)
Inequivalent atoms, fractional coordinates:
Li (0.000, 0.000, 0.000) x4
H (0.000, 0.000, 0.500) x4
Pd (0.250, 0.250, 0.250) x4
Pt (0.250, 0.250, 0.750) x4


arrangement w (323 meV/atom below the next structure)